1.
This record from Alexandria describes a PBEsol-optimized structure of LiMgSb2. The functional is SCAN.

V = 89.7 Å³/f.u.
final energy = -20.776 eV/atom
N(E_F) = 0.37 states/eV/atom
ρ = 5.09 g/cm3
total magnetic moment = 0.0 Bohr magnetons per cell

```
data_LiMgSb2
_chemical_formula_sum 'Li1 Mg1 Sb2'
_symmetry_space_group_name_H-M 'P 4/m m m'
_symmetry_Int_Tables_number 123
_symmetry_space_group_name_Hall '-P 4 2'
_cell_length_a 4.6546
_cell_length_b 4.6546
_cell_length_c 4.1383
_cell_angle_alpha 90.00
_cell_angle_beta 90.00
_cell_angle_gamma 90.00
loop_
_atom_site_label
_atom_site_fract_x
_atom_site_fract_y
_atom_site_fract_z
_atom_site_occupancy
Li1 0.0000 0.0000 0.0000 1
Mg1 0.5000 0.5000 0.0000 1
Sb1 0.0000 0.5000 0.5000 1
```

2.
This record from Alexandria describes a PBEsol-optimized structure of Li3MgSb. The functional is SCAN.

V = 138.6 Å³/f.u.
final energy = -10.018 eV/atom
N(E_F) = 0.12 states/eV/atom
ρ = 2.00 g/cm3
total magnetic moment = 0.0 Bohr magnetons per cell

```
data_Li3MgSb
_chemical_formula_sum 'Li3 Mg1 Sb1'
_symmetry_space_group_name_H-M 'P m -3 m'
_symmetry_Int_Tables_number 221
_symmetry_space_group_name_Hall '-P 4 2 3'
_cell_length_a 5.1746
_cell_length_b 5.1746
_cell_length_c 5.1746
_cell_angle_alpha 90.00
_cell_angle_beta 90.00
_cell_angle_gamma 90.00
loop_
_atom_site_label
_atom_site_fract_x
_atom_site_fract_y
_atom_site_fract_z
_atom_site_occupancy
Li1 0.0000 0.0000 0.5000 1
Mg1 0.5000 0.5000 0.5000 1
Sb1 0.0000 0.0000 0.0000 1
```